1.
ZnCrTe2: optimized geometry, PBEsol.

Values from the calculation:
SG = P2/m
formation energy from raw total energies = 1.1 eV per formula unit

```
ZnCrTe2
1.0
-0.656 -3.723 -0.877
0.986 -1.093 3.900
-5.835 1.025 0.013
Cr Te Zn
1 2 1
direct
0.500 0.500 0.000 Cr
0.000 0.271 0.240 Te
0.000 0.729 0.760 Te
0.500 0.000 0.500 Zn
```

2.
ReNi2As: optimized geometry, PBEsol.

Values from the calculation:
energy relative to the elements = 93 meV per atom
SG = Cm

```
ReNi2As
1.0
-2.319 -0.966 0.962
0.214 -0.943 -4.193
2.224 -3.684 1.662
Ni Re As
2 1 1
direct
0.250 0.500 0.770 Ni
0.997 0.994 0.991 Ni
0.504 0.008 0.514 Re
0.749 0.497 0.225 As
```

| no. | M_tot (μB/atom) | density of states at the Fermi level (states/eV/atom) |
| --- | --- | --- |
| 1 | 0.9509 | 0.548 |
| 2 | 0.0003 | 0.861 |